(1)
DFT (GGA-PBE) results for a relaxed Na4Bi3 crystal.

a = 5.482 Å, b = 6.362 Å, c = 8.125 Å
α = 109.92°, β = 109.72°, γ = 90.00°
Fractional positions:
Bi 0.229 0.351 0.458
Bi 0.771 0.649 0.542
Bi 0.000 0.000 0.000
Na 0.158 0.778 0.315
Na 0.435 0.726 0.869
Na 0.842 0.222 0.685
Na 0.565 0.274 0.131

Computed properties:
**Calculated total energy**: -2.65 eV per atom
**ΔE_f**: -0.233 eV per atom


(2)
DFT (GGA-PBE) results for a relaxed Na13Bi2 crystal.

a = 9.558 Å, b = 9.558 Å, c = 9.953 Å
α = 61.30°, β = 61.30°, γ = 60.00°
Fractional positions:
Na 0.513 0.513 0.838
Na 0.500 0.500 0.500
Na 0.719 0.719 0.487
Na 0.487 0.865 0.162
Na 0.865 0.487 0.162
Na 0.513 0.135 0.838
Na 0.925 0.281 0.513
Na 0.281 0.925 0.513
Na 0.075 0.719 0.487
Na 0.135 0.513 0.838
Na 0.719 0.075 0.487
Na 0.487 0.487 0.162
Na 0.281 0.281 0.513
Bi 0.722 0.722 0.835
Bi 0.278 0.278 0.165

Computed properties:
**Calculated total energy**: -1.65 eV per atom
**ΔE_f**: 0.008 eV per atom


(3)
DFT (GGA-PBE) results for a relaxed NaBi3 crystal.

a = 4.961 Å, b = 4.963 Å, c = 4.962 Å
α = 90.00°, β = 90.00°, γ = 90.00°
Fractional positions:
Bi 0.500 0.000 0.416
Bi 0.500 0.500 0.916
Bi 0.000 0.000 0.917
Na 0.000 0.500 0.417

Computed properties:
**Calculated total energy**: -3.37 eV per atom
**ΔE_f**: -0.127 eV per atom


(4)
DFT (GGA-PBE) results for a relaxed Na3Bi5 crystal.

a = 4.982 Å, b = 6.952 Å, c = 6.952 Å
α = 90.96°, β = 90.00°, γ = 90.00°
Fractional positions:
Bi 0.000 0.000 0.000
Bi 0.000 0.000 0.500
Bi 0.500 0.751 0.751
Bi 0.500 0.249 0.249
Bi 0.000 0.500 0.000
Na 0.500 0.248 0.752
Na 0.500 0.752 0.248
Na 0.000 0.500 0.500

Computed properties:
**Calculated total energy**: -3.13 eV per atom
**ΔE_f**: -0.206 eV per atom


(5)
DFT (GGA-PBE) results for a relaxed NaBi4 crystal.

a = 3.420 Å, b = 5.258 Å, c = 9.326 Å
α = 106.69°, β = 100.57°, γ = 90.00°
Fractional positions:
Na 0.000 0.000 0.000
Bi 0.590 0.591 0.179
Bi 0.792 0.793 0.584
Bi 0.410 0.409 0.821
Bi 0.208 0.207 0.416

Computed properties:
**Calculated total energy**: -3.38 eV per atom
**ΔE_f**: -0.009 eV per atom


(6)
DFT (GGA-PBE) results for a relaxed Na5Bi crystal.

a = 5.513 Å, b = 5.530 Å, c = 7.037 Å
α = 90.25°, β = 90.00°, γ = 119.90°
Fractional positions:
Na 0.305 0.611 0.109
Na 0.638 0.276 0.241
Na 0.306 0.613 0.647
Na 0.639 0.278 0.780
Na 0.972 0.945 0.445
Bi 0.972 0.944 0.945

Computed properties:
**Calculated total energy**: -1.95 eV per atom
**ΔE_f**: -0.201 eV per atom


(7)
DFT (GGA-PBE) results for a relaxed Na4Bi crystal.

a = 6.075 Å, b = 6.075 Å, c = 6.075 Å
α = 90.00°, β = 90.00°, γ = 90.00°
Fractional positions:
Na 0.000 0.000 0.000
Na 0.500 0.000 0.500
Na 0.500 0.500 0.000
Na 0.000 0.500 0.500
Bi 0.500 0.500 0.500

Computed properties:
**Calculated total energy**: -1.93 eV per atom
**ΔE_f**: -0.095 eV per atom


(8)
DFT (GGA-PBE) results for a relaxed Na3Bi crystal.

a = 5.569 Å, b = 3.707 Å, c = 5.959 Å
α = 90.00°, β = 90.00°, γ = 90.00°
Fractional positions:
Na 0.000 0.000 0.981
Na 0.500 0.500 0.164
Na 0.000 0.500 0.524
Bi 0.500 0.000 0.664

Computed properties:
**Calculated total energy**: -2.18 eV per atom
**ΔE_f**: -0.222 eV per atom


(9)
DFT (GGA-PBE) results for a relaxed Na2Bi3 crystal.

a = 9.049 Å, b = 9.049 Å, c = 6.756 Å
α = 47.96°, β = 47.96°, γ = 60.00°
Fractional positions:
Na 0.379 0.379 0.864
Na 0.621 0.621 0.136
Na 0.121 0.121 0.636
Na 0.879 0.879 0.364
Bi 0.250 0.565 0.250
Bi 0.065 0.750 0.750
Bi 0.750 0.435 0.750
Bi 0.935 0.250 0.250
Bi 0.565 0.935 0.250
Bi 0.435 0.065 0.750

Computed properties:
**Calculated total energy**: -2.82 eV per atom
**ΔE_f**: 0.036 eV per atom


(10)
DFT (GGA-PBE) results for a relaxed Na6Bi crystal.

a = 7.096 Å, b = 7.096 Å, c = 7.096 Å
α = 109.47°, β = 109.47°, γ = 109.47°
Fractional positions:
Na 0.500 0.750 0.250
Na 0.500 0.250 0.750
Na 0.750 0.500 0.250
Na 0.750 0.250 0.500
Na 0.250 0.750 0.500
Na 0.250 0.500 0.750
Bi 0.000 0.000 0.000

Computed properties:
**Calculated total energy**: -1.26 eV per atom
**ΔE_f**: 0.421 eV per atom


(11)
DFT (GGA-PBE) results for a relaxed Na2Bi3 crystal.

a = 6.429 Å, b = 6.713 Å, c = 8.914 Å
α = 90.00°, β = 90.00°, γ = 118.61°
Fractional positions:
Bi 0.600 0.700 0.750
Bi 0.000 0.000 0.000
Bi 0.100 0.700 0.750
Bi 0.900 0.300 0.250
Bi 0.500 0.000 0.500
Bi 0.400 0.300 0.250
Na 0.384 0.768 0.125
Na 0.116 0.232 0.625
Na 0.616 0.232 0.875
Na 0.884 0.768 0.375

Computed properties:
**Calculated total energy**: -3.00 eV per atom
**ΔE_f**: -0.143 eV per atom


(12)
DFT (GGA-PBE) results for a relaxed Na3Bi crystal.

a = 5.488 Å, b = 5.488 Å, c = 9.759 Å
α = 90.00°, β = 90.00°, γ = 120.00°
Fractional positions:
Na 0.333 0.667 0.583
Na 0.333 0.667 0.917
Na 0.667 0.333 0.417
Na 0.000 0.000 0.250
Na 0.667 0.333 0.083
Na 0.000 0.000 0.750
Bi 0.333 0.667 0.250
Bi 0.667 0.333 0.750

Computed properties:
**Calculated total energy**: -2.34 eV per atom
**ΔE_f**: -0.376 eV per atom


(13)
DFT (GGA-PBE) results for a relaxed NaBi3 crystal.

a = 7.001 Å, b = 7.001 Å, c = 5.822 Å
α = 90.00°, β = 90.00°, γ = 120.00°
Fractional positions:
Na 0.667 0.333 0.250
Na 0.333 0.667 0.750
Bi 0.163 0.326 0.250
Bi 0.837 0.163 0.750
Bi 0.674 0.837 0.250
Bi 0.837 0.674 0.750
Bi 0.326 0.163 0.750
Bi 0.163 0.837 0.250

Computed properties:
**Calculated total energy**: -3.35 eV per atom
**ΔE_f**: -0.114 eV per atom


(14)
DFT (GGA-PBE) results for a relaxed Na4Bi5 crystal.

a = 3.550 Å, b = 9.170 Å, c = 9.170 Å
α = 87.85°, β = 78.84°, γ = 78.84°
Fractional positions:
Na 0.688 0.312 0.312
Na 0.000 0.312 0.688
Na 0.312 0.688 0.688
Na 0.000 0.688 0.312
Bi 0.330 0.000 0.340
Bi 0.330 0.340 0.000
Bi 0.000 0.000 0.000
Bi 0.670 0.000 0.660
Bi 0.670 0.660 0.000

Computed properties:
**Calculated total energy**: -2.83 eV per atom
**ΔE_f**: -0.088 eV per atom


(15)
DFT (GGA-PBE) results for a relaxed Na4Bi3 crystal.

a = 3.556 Å, b = 4.935 Å, c = 12.080 Å
α = 101.79°, β = 98.46°, γ = 90.00°
Fractional positions:
Na 0.572 0.072 0.144
Na 0.710 0.210 0.420
Na 0.428 0.928 0.856
Na 0.290 0.790 0.580
Bi 0.000 0.500 0.000
Bi 0.144 0.644 0.289
Bi 0.856 0.356 0.711

Computed properties:
**Calculated total energy**: -2.71 eV per atom
**ΔE_f**: -0.296 eV per atom


(16)
DFT (GGA-PBE) results for a relaxed Na4Bi crystal.

a = 5.071 Å, b = 7.922 Å, c = 7.898 Å
α = 90.00°, β = 90.00°, γ = 90.03°
Fractional positions:
Bi 0.000 0.000 0.000
Bi 0.500 0.500 0.500
Na 0.000 0.781 0.500
Na 0.500 0.281 0.000
Na 0.500 0.719 0.000
Na 0.000 0.219 0.500
Na 0.000 0.500 0.780
Na 0.000 0.500 0.220
Na 0.500 0.000 0.280
Na 0.500 0.000 0.720

Computed properties:
**Calculated total energy**: -1.98 eV per atom
**ΔE_f**: -0.151 eV per atom


(17)
DFT (GGA-PBE) results for a relaxed Na3Bi2 crystal.

a = 9.280 Å, b = 9.280 Å, c = 6.947 Å
α = 48.09°, β = 48.09°, γ = 60.00°
Fractional positions:
Bi 0.616 0.616 0.153
Bi 0.384 0.384 0.847
Bi 0.116 0.116 0.653
Bi 0.884 0.884 0.347
Na 0.942 0.250 0.250
Na 0.250 0.558 0.250
Na 0.558 0.942 0.250
Na 0.750 0.442 0.750
Na 0.442 0.058 0.750
Na 0.058 0.750 0.750

Computed properties:
**Calculated total energy**: -2.59 eV per atom
**ΔE_f**: -0.250 eV per atom


(18)
DFT (GGA-PBE) results for a relaxed Na4Bi crystal.

a = 5.968 Å, b = 5.865 Å, c = 9.785 Å
α = 89.82°, β = 90.00°, γ = 90.00°
Fractional positions:
Na 0.791 0.500 0.104
Na 0.469 0.000 0.167
Na 0.291 0.500 0.396
Na 0.531 0.000 0.833
Na 0.709 0.500 0.604
Na 0.031 0.000 0.667
Na 0.209 0.500 0.896
Na 0.969 0.000 0.333
Bi 0.000 0.000 0.000
Bi 0.500 0.000 0.500

Computed properties:
**Calculated total energy**: -2.05 eV per atom
**ΔE_f**: -0.215 eV per atom


(19)
DFT (GGA-PBE) results for a relaxed Na3Bi crystal.

a = 4.937 Å, b = 4.937 Å, c = 4.937 Å
α = 90.00°, β = 90.00°, γ = 90.00°
Fractional positions:
Na 0.500 0.500 0.000
Na 0.500 0.000 0.500
Na 0.000 0.500 0.500
Bi 0.000 0.000 0.000

Computed properties:
**Calculated total energy**: -2.19 eV per atom
**ΔE_f**: -0.231 eV per atom


(20)
DFT (GGA-PBE) results for a relaxed Na5Bi crystal.

a = 5.268 Å, b = 5.221 Å, c = 7.469 Å
α = 110.46°, β = 90.00°, γ = 90.00°
Fractional positions:
Na 0.000 0.653 0.306
Na 0.500 0.152 0.304
Na 0.500 0.848 0.696
Na 0.500 0.500 0.000
Na 0.000 0.347 0.694
Bi 0.000 0.000 0.000

Computed properties:
**Calculated total energy**: -1.93 eV per atom
**ΔE_f**: -0.181 eV per atom


(21)
DFT (GGA-PBE) results for a relaxed NaBi3 crystal.

a = 3.389 Å, b = 5.411 Å, c = 7.078 Å
α = 90.00°, β = 90.01°, γ = 90.00°
Fractional positions:
Na 0.000 0.000 0.000
Bi 0.500 0.500 0.224
Bi 0.500 0.000 0.500
Bi 0.500 0.500 0.776

Computed properties:
**Calculated total energy**: -3.37 eV per atom
**ΔE_f**: -0.130 eV per atom


(22)
DFT (GGA-PBE) results for a relaxed NaBi4 crystal.

a = 5.542 Å, b = 5.542 Å, c = 5.542 Å
α = 90.00°, β = 90.00°, γ = 90.00°
Fractional positions:
Bi 0.000 0.500 0.500
Bi 0.000 0.000 0.000
Bi 0.500 0.000 0.500
Bi 0.500 0.500 0.000
Na 0.500 0.500 0.500

Computed properties:
**Calculated total energy**: -2.74 eV per atom
**ΔE_f**: 0.628 eV per atom


(23)
DFT (GGA-PBE) results for a relaxed Na3Bi2 crystal.

a = 5.241 Å, b = 6.224 Å, c = 6.224 Å
α = 66.07°, β = 65.10°, γ = 65.10°
Fractional positions:
Na 0.809 0.691 0.691
Na 0.191 0.309 0.309
Na 0.000 0.000 0.000
Bi 0.500 0.723 0.277
Bi 0.500 0.277 0.723

Computed properties:
**Calculated total energy**: -2.62 eV per atom
**ΔE_f**: -0.279 eV per atom


(24)
DFT (GGA-PBE) results for a relaxed NaBi3 crystal.

a = 4.952 Å, b = 4.952 Å, c = 6.130 Å
α = 113.82°, β = 113.82°, γ = 90.00°
Fractional positions:
Na 0.000 0.000 0.000
Bi 0.250 0.750 0.500
Bi 0.750 0.250 0.500
Bi 0.500 0.500 0.000

Computed properties:
**Calculated total energy**: -3.33 eV per atom
**ΔE_f**: -0.091 eV per atom


(25)
DFT (GGA-PBE) results for a relaxed NaBi3 crystal.

a = 5.603 Å, b = 5.603 Å, c = 5.603 Å
α = 60.00°, β = 60.00°, γ = 60.00°
Fractional positions:
Bi 0.000 0.000 0.000
Bi 0.750 0.750 0.750
Bi 0.250 0.250 0.250
Na 0.500 0.500 0.500

Computed properties:
**Calculated total energy**: -3.29 eV per atom
**ΔE_f**: -0.048 eV per atom


(26)
DFT (GGA-PBE) results for a relaxed Na2NbBi2 crystal.

a = 3.852 Å, b = 3.852 Å, c = 8.892 Å
α = 77.49°, β = 77.49°, γ = 90.00°
Last column: magnetic moment on the atom in μB.
Fractional positions:
Nb 0.000 0.000 0.000  0.33
Na 0.750 0.250 0.500  0.00
Na 0.250 0.750 0.500  0.00
Bi 0.406 0.406 0.189  -0.02
Bi 0.594 0.594 0.811  -0.02

Computed properties:
**Calculated total energy**: -3.83 eV per atom
**ΔE_f**: 0.261 eV per atom